## KTl2VF8 (GGA+U)

Data for a relaxed structure of KTl2VF8.

Output
Total DFT energy (no corrections) in eV/atom: -4.71
Mass density in g/cm³: 4.6

abc: 5.6330 7.2175 5.7637
angles: 90.00 90.85 90.00
Last column: nearest neighbours and their distance in Å.
Space group P2/m (No. 10)
Asymmetric unit:
1 K 0.0000 0.0000 0.0000  6 F 2.65-2.70
2 Tl 0.5000 0.2708 0.5000  2 F 2.39
3 V 0.0000 0.5000 0.0000  6 F 1.88-1.89
4 F 0.1410 0.3171 0.1893  1 V 1.88
5 F 0.2687 0.5000 0.8082  1 V 1.89
6 F 0.3438 0.0000 0.6797  2 Tl 2.39